VASP calculation (PBE-GGA) on crystalline PrBeSi2Os2 at its relaxed geometry.

Unit cell a=4.2629 b=4.2629 c=5.3386 alpha=90.00 beta=90.00 gamma=90.00
Last column: nearest neighbours and their distance in Å.
Space group P4/mmm (No. 123)
Inequivalent atoms, fractional coordinates:
Pr1 0.0000 0.0000 0.0000 x1  2 Be 2.67
Be1 0.0000 0.0000 0.5000 x1  4 Os 2.13
Si1 0.5000 0.5000 0.2383 x2  2 Si 2.54-2.79, 4 Os 2.55
Os1 0.0000 0.5000 0.5000 x2  2 Be 2.13

## Properties
uncorrected formation energy = -0.43 eV per atom
final energy = -7.401 eV/atom